Entry from Alexandria via LeMat-Bulk: a geometry-optimized NdErIn2 structure (PBE-GGA).

a = 3.8009 Å, b = 3.8009 Å, c = 7.6089 Å
α = 90.00°, β = 90.00°, γ = 90.00°
Last column: nearest neighbours and their distance in Å.
Element x y z (fractional)
In: 0.0000 0.0000 0.7650  4 Er 3.23, 4 Nd 3.36, 1 In 3.58
In: 0.0000 0.0000 0.2350  4 Er 3.23, 4 Nd 3.36, 1 In 3.58
Nd: 0.5000 0.5000 0.5000  8 In 3.36
Er: 0.5000 0.5000 0.0000  8 In 3.23

formation energy	-1.9	eV/f.u.
energy above the most stable polymorph in this dataset	0.0	meV per atom
symmetry	No. 123
uncorrected energy	-4.18	eV/atom
size of the total moment	0.000	μB per atom



Entry from Alexandria via LeMat-Bulk: a geometry-optimized MgPt2Pb structure (PBE-GGA).

a = 4.4528 Å, b = 4.4537 Å, c = 3.7088 Å
α = 90.00°, β = 90.00°, γ = 90.00°
Last column: nearest neighbours and their distance in Å.
Element x y z (fractional)
Pt: 0.5000 0.5000 0.0000  4 Pb 2.90, 4 Mg 2.90, 4 Pt 3.15
Pt: 0.0000 0.0000 0.0000  4 Mg 2.90, 4 Pb 2.90, 4 Pt 3.15
Mg: 0.5000 0.0000 0.5000  8 Pt 2.90, 4 Pb 3.15
Pb: 0.0000 0.5000 0.5000  8 Pt 2.90, 4 Mg 3.15

formation energy	-1.5	eV/f.u.
symmetry	No. 123
uncorrected energy	-4.72	eV/atom
size of the total moment	0.000	μB per atom



Entry from Alexandria via LeMat-Bulk: a geometry-optimized CaCrHg3 structure (PBE-GGA).

a = 5.2268 Å, b = 5.2268 Å, c = 5.2268 Å
α = 90.00°, β = 90.00°, γ = 90.00°
Last column: nearest neighbours and their distance in Å.
Element x y z (fractional)
Ca: 0.5000 0.5000 0.5000  12 Hg 3.70
Hg: 0.0000 0.0000 0.5000  2 Cr 2.61
Hg: 0.0000 0.5000 0.0000  2 Cr 2.61
Hg: 0.5000 0.0000 0.0000  2 Cr 2.61
Cr: 0.0000 0.0000 0.0000  6 Hg 2.61

formation energy	0.8	eV/f.u.
energy above the most stable polymorph in this dataset	0.0	meV per atom
symmetry	No. 221
uncorrected energy	-2.35	eV/atom
size of the total moment	0.748	μB per atom



Entry from Alexandria via LeMat-Bulk: a geometry-optimized Ca2BiPdC structure (PBE-GGA).

a = 6.0387 Å, b = 5.0613 Å, c = 6.0387 Å
α = 90.00°, β = 90.00°, γ = 90.00°
Last column: nearest neighbours and their distance in Å.
Element x y z (fractional)
Ca: 0.0000 0.0000 0.5000  2 Bi 3.02
Ca: 0.5000 0.0000 0.0000  2 Bi 3.02
C: 0.5000 0.5000 0.5000  8 Ca 3.94, 4 Pd 4.27
Pd: 0.0000 0.5000 0.0000  2 Bi 2.53
Bi: 0.0000 0.0000 0.0000  2 Pd 2.53

formation energy	5.5	eV/f.u.
symmetry	No. 123
uncorrected energy	-3.37	eV/atom
size of the total moment	0.595	μB per atom



Entry from Alexandria via LeMat-Bulk: a geometry-optimized Ce4GaBi structure (PBE-GGA).

a = 6.0634 Å, b = 8.2762 Å, c = 8.2055 Å
α = 111.56°, β = 100.53°, γ = 111.73°
Last column: nearest neighbours and their distance in Å.
Element x y z (fractional)
Ce: 0.8208 0.7400 0.6266  1 Ce 2.73
Ce: 0.1792 0.2600 0.3734  1 Ce 2.73
Ce: 0.6942 0.1134 0.3734  1 Ce 2.73
Ce: 0.0723 0.2295 0.8223  1 Ce 2.79, 1 Ga 3.10
Ce: 0.2500 0.5928 0.8223  1 Ce 2.79, 1 Ga 3.10
Ce: 0.7500 0.4072 0.1777  1 Ce 2.79, 1 Ga 3.10
Ce: 0.3058 0.8866 0.6266  1 Ce 2.73
Ce: 0.9277 0.7705 0.1777  1 Ce 2.79, 1 Ga 3.10
Bi: 0.3724 0.6224 0.2448  10 Ce 3.29-3.41
Bi: 0.6276 0.3776 0.7552  10 Ce 3.29-3.41
Ga: 0.7417 0.9917 0.9834  2 Ga 3.04, 8 Ce 3.09-3.19
Ga: 0.2583 0.0083 0.0166  2 Ga 3.04, 8 Ce 3.09-3.19

formation energy	-2.3	eV/f.u.
energy above the most stable polymorph in this dataset	0.0	meV per atom
symmetry	No. 15
uncorrected energy	-5.50	eV/atom
size of the total moment	0.401	μB per atom



Entry from Alexandria via LeMat-Bulk: a geometry-optimized CrSe2I structure (PBE-GGA).

a = 13.9687 Å, b = 13.9687 Å, c = 13.9687 Å
α = 13.02°, β = 13.02°, γ = 13.02°
Last column: nearest neighbours and their distance in Å.
Element x y z (fractional)
Cr: 0.0000 0.0000 0.0000  2 Se 2.39
I: 0.5000 0.5000 0.5000  6 I 3.17
Se: 0.0576 0.0576 0.0576  1 Cr 2.39
Se: 0.9424 0.9424 0.9424  1 Cr 2.39

energy above the most stable polymorph in this dataset	668.8	meV per atom
symmetry	No. 166
uncorrected energy	-4.05	eV/atom
formation energy (no corrections)	1.959	eV per formula unit
size of the total moment	0.889	μB per atom



Entry from Alexandria via LeMat-Bulk: a geometry-optimized CrTcNiPd structure (PBE-GGA).

a = 4.2369 Å, b = 4.2369 Å, c = 4.2369 Å
α = 60.00°, β = 60.00°, γ = 60.00°
Last column: nearest neighbours and their distance in Å.
Element x y z (fractional)
Ni: 0.0000 0.0000 0.0000  4 Tc 2.59, 4 Pd 2.59
Cr: 0.5000 0.5000 0.5000  4 Tc 2.59, 4 Pd 2.59
Pd: 0.7500 0.7500 0.7500  4 Cr 2.59, 4 Ni 2.59
Tc: 0.2500 0.2500 0.2500  4 Ni 2.59, 4 Cr 2.59

formation energy	0.7	eV/f.u.
symmetry	No. 216
uncorrected energy	-7.57	eV/atom
size of the total moment	0.181	μB per atom



Entry from Alexandria via LeMat-Bulk: a geometry-optimized Hf2FeH2 structure (PBE-GGA).

a = 3.0689 Å, b = 3.0689 Å, c = 6.2764 Å
α = 90.00°, β = 90.00°, γ = 90.00°
Last column: nearest neighbours and their distance in Å.
Element x y z (fractional)
H: 0.0000 0.5000 0.5000  4 H 2.17, 4 Hf 2.18
H: 0.5000 0.0000 0.5000  4 H 2.17, 4 Hf 2.18
Hf: 0.5000 0.5000 0.2537  4 H 2.18
Hf: 0.5000 0.5000 0.7463  4 H 2.18
Fe: 0.0000 0.0000 0.0000  8 Hf 2.69

energy above the most stable polymorph in this dataset	145.8	meV per atom
symmetry	No. 123
uncorrected energy	-7.30	eV/atom
size of the total moment	0.000	μB per atom



- uncorrected energy of number 7 (CrTcNiPd)?
  -7.57 eV/atom